VASP calculation (GGA-PBE) on a relaxed Pr6DyHo2Tm crystal.

Lattice parameters (Å, degrees): 9.0032 9.0032 9.6601 93.81 93.81 117.68
Positions (direct):
Pr: 0.0051 0.5637 0.1901
Pr: 0.1162 0.7647 0.5539
Pr: 0.2353 0.8838 0.9461
Pr: 0.2928 0.5111 0.3832
Pr: 0.4363 0.9949 0.3099
Pr: 0.4889 0.7072 0.1168
Pr: 0.5111 0.2928 0.8832
Pr: 0.5637 0.0051 0.6901
Pr: 0.7072 0.4889 0.6168
Pr: 0.7647 0.1162 0.0539
Pr: 0.8838 0.2353 0.4461
Pr: 0.9949 0.4363 0.8099
Dy: 0.0278 0.9722 0.2500
Dy: 0.9722 0.0278 0.7500
Ho: 0.2012 0.2974 0.0468
Ho: 0.2974 0.2012 0.5468
Ho: 0.7026 0.7988 0.4532
Ho: 0.7988 0.7026 0.9532
Tm: 0.4129 0.5871 0.7500
Tm: 0.5871 0.4129 0.2500

Values from the calculation:
Raw total energy, eV per formula unit: -45.745
Space-group type: C2/c, No. 15
Crystal system: monoclinic
Energy relative to the elements, eV/atom: 0.12